Compound: Tb3Ni2Sn3
Source: the Alexandria database
Functional: PBE-GGA
Structure: relaxed Values from VASP.

Structure (Quantum ESPRESSO input):
```
&SYSTEM
  ibrav = 0, nat = 16, ntyp = 3
/
ATOMIC_SPECIES
Tb 158.93 Tb.upf
Ni 58.69 Ni.upf
Sn 118.71 Sn.upf
CELL_PARAMETERS angstrom
-2.5519 2.4296 -2.7240
-2.5722 -0.9991 5.1594
6.0957 12.5299 5.4652
ATOMIC_POSITIONS crystal
Tb 0.9217 0.8434 0.3895
Tb 0.0783 0.1566 0.8895
Tb 0.9217 0.8434 0.1105
Tb 0.0783 0.1566 0.6105
Tb 0.6424 0.2847 0.2500
Tb 0.3576 0.7153 0.7500
Ni 0.7956 0.5912 0.8940
Ni 0.2044 0.4088 0.3940
Ni 0.7956 0.5912 0.6060
Ni 0.2044 0.4088 0.1060
Sn 0.6329 0.2659 0.4630
Sn 0.3671 0.7341 0.9630
Sn 0.6329 0.2659 0.0370
Sn 0.3671 0.7341 0.5370
Sn 0.3459 0.6918 0.2500
Sn 0.6541 0.3082 0.7500
```

## Properties
The symmetry is Cmcm (63). As for the crystal system: orthorhombic.


Compound: TbNiSn
Source: the Alexandria database
Functional: PBE-GGA
Structure: relaxed Values from VASP.

Structure (Quantum ESPRESSO input):
```
&SYSTEM
  ibrav = 0, nat = 3, ntyp = 3
/
ATOMIC_SPECIES
Ni 58.69 Ni.upf
Tb 158.93 Tb.upf
Sn 118.71 Sn.upf
CELL_PARAMETERS angstrom
3.3299 0.0000 0.0000
0.0000 3.3299 0.0000
-1.6650 -1.6650 5.5678
ATOMIC_POSITIONS crystal
Ni 0.9375 0.9375 0.8750
Tb 0.6003 0.6003 0.2005
Sn 0.3122 0.3122 0.6245
```

## Properties
The symmetry is I4mm (107). As for the crystal system: tetragonal.


Compound: TbNiSn
Source: the Alexandria database
Functional: PBE-GGA
Structure: relaxed Values from VASP.

Structure (Quantum ESPRESSO input):
```
&SYSTEM
  ibrav = 0, nat = 6, ntyp = 3
/
ATOMIC_SPECIES
Tb 158.93 Tb.upf
Ni 58.69 Ni.upf
Sn 118.71 Sn.upf
CELL_PARAMETERS angstrom
4.5349 0.0000 0.0000
-2.2674 3.9102 -0.3057
0.0000 -2.0420 7.5482
ATOMIC_POSITIONS crystal
Tb 0.7388 0.4777 0.2168
Tb 0.2612 0.5223 0.7832
Ni 0.1354 0.2708 0.4063
Ni 0.8646 0.7292 0.5937
Sn 0.5000 0.0000 0.5000
Sn 0.0000 0.0000 0.0000
```

## Properties
The symmetry is C2/m (12). As for the crystal system: monoclinic.


Compound: Tb5Ni2Sn
Source: the Alexandria database
Functional: PBE-GGA
Structure: relaxed Values from VASP.

Structure (Quantum ESPRESSO input):
```
&SYSTEM
  ibrav = 0, nat = 16, ntyp = 3
/
ATOMIC_SPECIES
Tb 158.93 Tb.upf
Ni 58.69 Ni.upf
Sn 118.71 Sn.upf
CELL_PARAMETERS angstrom
7.7206 0.0000 0.0000
0.0000 7.7206 0.0000
-3.8603 -3.8603 6.6696
ATOMIC_POSITIONS crystal
Tb 0.5224 0.7047 0.7271
Tb 0.7953 0.9776 0.2729
Tb 0.0000 0.0000 0.0000
Tb 0.5000 0.5000 0.0000
Tb 0.2047 0.0224 0.7271
Tb 0.7047 0.2047 0.7271
Tb 0.0224 0.5224 0.7271
Tb 0.2953 0.7953 0.2729
Tb 0.9776 0.4776 0.2729
Tb 0.4776 0.2953 0.2729
Ni 0.1279 0.3721 0.0000
Ni 0.6279 0.1279 0.0000
Ni 0.3721 0.8721 0.0000
Ni 0.8721 0.6279 0.0000
Sn 0.7500 0.7500 0.5000
Sn 0.2500 0.2500 0.5000
```

## Properties
The symmetry is I4/mcm (140). As for the crystal system: tetragonal.


Compound: TbNi3Sn3
Source: the Alexandria database
Functional: PBE-GGA
Structure: relaxed Values from VASP.

Structure (Quantum ESPRESSO input):
```
&SYSTEM
  ibrav = 0, nat = 14, ntyp = 3
/
ATOMIC_SPECIES
Ni 58.69 Ni.upf
Tb 158.93 Tb.upf
Sn 118.71 Sn.upf
CELL_PARAMETERS angstrom
6.8835 0.0000 0.0000
0.0000 6.8835 0.0000
0.0000 0.0000 6.8835
ATOMIC_POSITIONS crystal
Ni 0.2500 0.0000 0.5000
Ni 0.0000 0.5000 0.2500
Ni 0.5000 0.7500 0.0000
Ni 0.7500 0.0000 0.5000
Ni 0.0000 0.5000 0.7500
Ni 0.5000 0.2500 0.0000
Tb 0.5000 0.5000 0.5000
Tb 0.0000 0.0000 0.0000
Sn 0.0000 0.2500 0.5000
Sn 0.0000 0.7500 0.5000
Sn 0.5000 0.0000 0.7500
Sn 0.7500 0.5000 0.0000
Sn 0.5000 0.0000 0.2500
Sn 0.2500 0.5000 0.0000
```

## Properties
The value obtained for the offset from the most stable computed form is 0.375 eV/atom. The symmetry is Pm-3n (223). As for the crystal system: cubic.


Compound: TbYNiSn
Source: the Alexandria database
Functional: PBE-GGA
Structure: relaxed Values from VASP.

Structure (Quantum ESPRESSO input):
```
&SYSTEM
  ibrav = 0, nat = 4, ntyp = 4
/
ATOMIC_SPECIES
Y 88.91 Y.upf
Ni 58.69 Ni.upf
Tb 158.93 Tb.upf
Sn 118.71 Sn.upf
CELL_PARAMETERS angstrom
5.1108 0.0000 0.0000
2.5554 4.4261 0.0000
2.5554 1.4754 4.1729
ATOMIC_POSITIONS crystal
Y 0.7500 0.7500 0.7500
Ni 0.5000 0.5000 0.5000
Tb 0.2500 0.2500 0.2500
Sn 0.0000 0.0000 0.0000
```

## Properties
The symmetry is F-43m (216). As for the crystal system: cubic.


Compound: TbZnNiSn
Source: the Alexandria database
Functional: PBE-GGA
Structure: relaxed Values from VASP.

Structure (Quantum ESPRESSO input):
```
&SYSTEM
  ibrav = 0, nat = 4, ntyp = 4
/
ATOMIC_SPECIES
Ni 58.69 Ni.upf
Zn 65.41 Zn.upf
Tb 158.93 Tb.upf
Sn 118.71 Sn.upf
CELL_PARAMETERS angstrom
4.7267 0.0000 0.0000
2.3634 4.0935 0.0000
2.3634 1.3645 3.8594
ATOMIC_POSITIONS crystal
Ni 0.0000 0.0000 0.0000
Zn 0.5000 0.5000 0.5000
Tb 0.7500 0.7500 0.7500
Sn 0.2500 0.2500 0.2500
```

## Properties
The symmetry is F-43m (216). As for the crystal system: cubic.


Compound: TcNiSn
Source: the Alexandria database
Functional: PBE-GGA
Structure: relaxed Values from VASP.

Structure (Quantum ESPRESSO input):
```
&SYSTEM
  ibrav = 0, nat = 12, ntyp = 3
/
ATOMIC_SPECIES
Tc 98.00 Tc.upf
Ni 58.69 Ni.upf
Sn 118.71 Sn.upf
CELL_PARAMETERS angstrom
7.3627 0.0000 -0.0029
0.0000 3.1900 0.0000
-4.4499 0.0000 8.0444
ATOMIC_POSITIONS crystal
Tc 0.5371 0.0000 0.6581
Tc 0.4629 0.0000 0.3419
Tc 0.5371 0.5000 0.1581
Tc 0.4629 0.5000 0.8419
Ni 0.8404 0.0000 0.3537
Ni 0.1596 0.0000 0.6463
Ni 0.8404 0.5000 0.8537
Ni 0.1596 0.5000 0.1463
Sn 0.1845 0.0000 0.9321
Sn 0.8155 0.0000 0.0679
Sn 0.1845 0.5000 0.4321
Sn 0.8155 0.5000 0.5679
```

## Properties
The value obtained for the offset from the most stable computed form is 0.030 eV/atom. The symmetry is C2/m (12). As for the crystal system: monoclinic.


Compound: TcNiSn3
Source: the Alexandria database
Functional: PBE-GGA
Structure: relaxed Values from VASP.

Structure (Quantum ESPRESSO input):
```
&SYSTEM
  ibrav = 0, nat = 5, ntyp = 3
/
ATOMIC_SPECIES
Ni 58.69 Ni.upf
Sn 118.71 Sn.upf
Tc 98.00 Tc.upf
CELL_PARAMETERS angstrom
-0.8547 -1.5943 -4.5647
1.8399 -4.3940 1.1902
-4.4714 -1.5033 1.3623
ATOMIC_POSITIONS crystal
Ni 0.0000 0.0000 0.0000
Sn 0.0000 0.5000 0.0000
Sn 0.0000 0.0000 0.5000
Sn 0.5000 0.0000 0.0000
Tc 0.5000 0.5000 0.5000
```

## Properties
The value obtained for the offset from the most stable computed form is 0.071 eV/atom. The symmetry is Pm-3m (221). As for the crystal system: cubic.


Compound: TcNiSn3
Source: the Alexandria database
Functional: PBE-GGA
Structure: relaxed Values from VASP.

Structure (Quantum ESPRESSO input):
```
&SYSTEM
  ibrav = 0, nat = 5, ntyp = 3
/
ATOMIC_SPECIES
Ni 58.69 Ni.upf
Sn 118.71 Sn.upf
Tc 98.00 Tc.upf
CELL_PARAMETERS angstrom
-1.4362 -4.6540 1.5734
3.1502 -2.1303 -3.4257
3.7697 0.0071 3.4622
ATOMIC_POSITIONS crystal
Ni 0.5000 0.5000 0.5000
Sn 0.0000 0.5000 0.0000
Sn 0.0000 0.0000 0.5000
Sn 0.5000 0.0000 0.0000
Tc 0.0000 0.0000 0.0000
```

## Properties
The value obtained for the offset from the most stable computed form is 0.000 eV/atom. The symmetry is Pm-3m (221). As for the crystal system: cubic.


Compound: TcNiSn
Source: the Alexandria database
Functional: PBE-GGA
Structure: relaxed Values from VASP.

Structure (Quantum ESPRESSO input):
```
&SYSTEM
  ibrav = 0, nat = 12, ntyp = 3
/
ATOMIC_SPECIES
Tc 98.00 Tc.upf
Ni 58.69 Ni.upf
Sn 118.71 Sn.upf
CELL_PARAMETERS angstrom
6.6263 0.0000 -0.0025
0.0000 3.2037 0.0000
-0.7498 0.0000 9.0757
ATOMIC_POSITIONS crystal
Tc 0.4554 0.0000 0.6415
Tc 0.5446 0.0000 0.3585
Tc 0.4554 0.5000 0.1415
Tc 0.5446 0.5000 0.8585
Ni 0.1579 0.0000 0.2042
Ni 0.8421 0.0000 0.7958
Ni 0.1579 0.5000 0.7042
Ni 0.8421 0.5000 0.2958
Sn 0.7919 0.0000 0.0734
Sn 0.2081 0.0000 0.9266
Sn 0.7919 0.5000 0.5734
Sn 0.2081 0.5000 0.4266
```

## Properties
The value obtained for the offset from the most stable computed form is 0.000 eV/atom. The symmetry is C2/m (12). As for the crystal system: monoclinic.


Compound: TcNiSn
Source: the Alexandria database
Functional: PBE-GGA
Structure: relaxed Values from VASP.

Structure (Quantum ESPRESSO input):
```
&SYSTEM
  ibrav = 0, nat = 12, ntyp = 3
/
ATOMIC_SPECIES
Tc 98.00 Tc.upf
Ni 58.69 Ni.upf
Sn 118.71 Sn.upf
CELL_PARAMETERS angstrom
4.5561 0.0000 0.0000
0.0000 8.7113 0.0000
0.0000 0.0000 4.7945
ATOMIC_POSITIONS crystal
Tc 0.5000 0.3228 0.7936
Tc 0.5000 0.6772 0.7936
Tc 0.5000 0.8228 0.2936
Tc 0.5000 0.1772 0.2936
Ni 0.0000 0.7948 0.9722
Ni 0.0000 0.2052 0.9722
Ni 0.0000 0.2948 0.4722
Ni 0.0000 0.7052 0.4722
Sn 0.0000 0.0000 0.3591
Sn 0.0000 0.5000 0.8591
Sn 0.5000 0.0000 0.8104
Sn 0.5000 0.5000 0.3104
```

## Properties
The value obtained for the offset from the most stable computed form is 0.096 eV/atom. The symmetry is Amm2 (38). As for the crystal system: orthorhombic.


DOS at the Fermi energy list, top to bottom, in states/eV per atom: 0.419; 0.767; 0.847; 1.057; 0.813; 0.487; 0.580; 0.539; 1.121; 1.952; 0.563; 1.041
Energy relative to the elements list, top to bottom, in eV/atom: -0.686; -0.374; -0.542; -0.445; 0.106; -0.449; -0.376; 0.021; 0.738; 0.668; -0.009; 0.087